No. 1
A relaxed structure of Na2Cd3Au. Source: Alexandria, functional PBE-GGA.

POSCAR file:
```
Na2Cd3Au
1.0
5.898 0.000 0.000
-2.949 5.108 0.000
0.000 0.000 9.470
Au Cd Na
2 6 4
Direct
0.000 0.000 0.000
0.000 0.000 0.500
0.832 0.168 0.750
0.336 0.168 0.750
0.832 0.664 0.750
0.168 0.336 0.250
0.168 0.832 0.250
0.664 0.832 0.250
0.667 0.333 0.059
0.667 0.333 0.441
0.333 0.667 0.559
0.333 0.667 0.941
```

Computed properties:
SG = P6_3/mmc, No. 194
crystal system = hexagonal

---

No. 2
A relaxed structure of Na5Cd2Au5. Source: Alexandria, functional PBE-GGA.

POSCAR file:
```
Na5Cd2Au5
1.0
5.104 0.355 1.057
-1.734 6.932 -3.621
2.792 -3.776 10.421
Na Au Cd
5 5 2
Direct
0.913 0.631 0.387
0.599 0.761 0.769
0.087 0.369 0.613
0.401 0.239 0.231
0.500 0.000 0.500
0.881 0.171 0.779
0.119 0.829 0.221
0.000 0.000 0.000
0.781 0.228 0.371
0.219 0.772 0.629
0.287 0.304 0.948
0.713 0.696 0.052
```

Computed properties:
SG = P-1, No. 2
crystal system = triclinic

---

No. 3
A relaxed structure of Na3Cd12Au5. Source: Alexandria, functional PBE-GGA.

POSCAR file:
```
Na3Cd12Au5
1.0
14.575 0.000 0.000
-4.858 13.742 0.000
-4.858 -6.871 11.901
Cd Au Na
48 20 12
Direct
0.592 0.719 0.668
0.281 0.408 0.832
0.873 0.281 0.449
0.424 0.373 0.592
0.719 0.127 0.051
0.076 0.908 0.127
0.627 0.051 0.219
0.449 0.781 0.873
0.592 0.873 0.424
0.408 0.281 0.332
0.908 0.076 0.627
0.832 0.908 0.281
0.873 0.592 0.924
0.551 0.332 0.924
0.627 0.576 0.908
0.668 0.449 0.576
0.924 0.092 0.873
0.949 0.576 0.168
0.332 0.781 0.408
0.576 0.949 0.668
0.051 0.424 0.832
0.127 0.408 0.076
0.373 0.949 0.781
0.092 0.168 0.219
0.373 0.424 0.092
0.168 0.092 0.719
0.949 0.373 0.281
0.408 0.127 0.576
0.424 0.051 0.332
0.781 0.449 0.373
0.168 0.076 0.949
0.551 0.219 0.127
0.719 0.592 0.168
0.127 0.719 0.551
0.668 0.219 0.592
0.219 0.551 0.627
0.908 0.832 0.781
0.449 0.668 0.076
0.832 0.924 0.051
0.781 0.332 0.908
0.576 0.627 0.408
0.076 0.168 0.449
0.092 0.924 0.373
0.051 0.627 0.719
0.281 0.873 0.949
0.924 0.832 0.551
0.332 0.551 0.424
0.219 0.668 0.092
0.875 0.625 0.750
0.375 0.125 0.750
0.500 0.000 0.500
0.500 0.500 0.000
0.125 0.750 0.375
0.875 0.250 0.625
0.000 0.500 0.500
0.250 0.375 0.625
0.375 0.250 0.125
0.125 0.375 0.250
0.500 0.000 0.000
0.000 0.000 0.500
0.000 0.500 0.000
0.625 0.750 0.875
0.750 0.625 0.375
0.625 0.875 0.250
0.500 0.500 0.500
0.750 0.125 0.875
0.250 0.875 0.125
0.000 0.000 0.000
0.250 0.625 0.875
0.875 0.750 0.125
0.250 0.125 0.375
0.750 0.375 0.125
0.625 0.250 0.375
0.875 0.125 0.250
0.375 0.750 0.625
0.125 0.875 0.750
0.375 0.625 0.250
0.750 0.875 0.625
0.625 0.375 0.750
0.125 0.250 0.875
```

Computed properties:
SG = Ia-3d, No. 230
crystal system = cubic

---

No. 4
A relaxed structure of Na5CdAu3. Source: Alexandria, functional PBE-GGA.

POSCAR file:
```
Na5CdAu3
1.0
6.231 0.000 0.000
0.000 8.828 0.000
0.000 -4.414 7.638
Na Cd Au
10 2 6
Direct
0.500 0.333 0.667
0.250 0.000 0.668
0.750 0.000 0.332
0.000 0.333 0.667
0.500 0.667 0.333
0.000 0.667 0.333
0.750 0.331 0.000
0.250 0.669 0.000
0.750 0.668 0.668
0.250 0.332 0.332
0.000 0.000 0.000
0.500 0.000 0.000
0.750 0.669 0.000
0.250 0.331 0.000
0.750 0.331 0.331
0.250 0.669 0.669
0.250 0.000 0.331
0.750 0.000 0.669
```

Computed properties:
SG = Cmcm, No. 63
crystal system = orthorhombic

---

No. 5
A relaxed structure of Na6Cd16Au7. Source: Alexandria, functional PBE-GGA.

POSCAR file:
```
Na6Cd16Au7
1.0
-2.273 -6.977 6.448
6.720 -6.573 2.654
3.786 0.247 9.001
Na Au Cd
6 7 16
Direct
0.709 0.709 0.291
0.291 0.709 0.291
0.291 0.291 0.709
0.709 0.291 0.291
0.291 0.709 0.709
0.709 0.291 0.709
0.000 0.500 0.000
0.500 0.500 0.000
0.500 0.000 0.000
0.000 0.000 0.000
0.000 0.000 0.500
0.000 0.500 0.500
0.500 0.000 0.500
0.663 0.011 0.663
0.337 0.337 0.989
0.337 0.337 0.337
0.119 0.642 0.119
0.881 0.881 0.881
0.663 0.663 0.663
0.881 0.358 0.881
0.358 0.881 0.881
0.881 0.881 0.358
0.663 0.663 0.011
0.119 0.119 0.119
0.989 0.337 0.337
0.011 0.663 0.663
0.642 0.119 0.119
0.119 0.119 0.642
0.337 0.989 0.337
```

Computed properties:
SG = Fm-3m, No. 225
crystal system = cubic

---

No. 6
A relaxed structure of Na5Cd2Au. Source: Alexandria, functional PBE-GGA.

POSCAR file:
```
Na5Cd2Au
1.0
5.226 0.000 0.000
-2.613 4.526 0.000
0.000 0.000 20.054
Au Na Cd
2 10 4
Direct
0.667 0.333 0.750
0.333 0.667 0.250
0.667 0.333 0.250
0.000 0.000 0.665
0.333 0.667 0.952
0.667 0.333 0.048
0.333 0.667 0.548
0.667 0.333 0.452
0.333 0.667 0.750
0.000 0.000 0.165
0.000 0.000 0.335
0.000 0.000 0.835
0.667 0.333 0.612
0.333 0.667 0.388
0.667 0.333 0.888
0.333 0.667 0.112
```

Computed properties:
SG = P6_3/mmc, No. 194
crystal system = hexagonal

---

No. 7
A relaxed structure of NaCd12Au6. Source: Alexandria, functional PBE-GGA.

POSCAR file:
```
NaCd12Au6
1.0
8.008 -0.120 -0.170
-2.102 7.728 -0.170
-2.102 -2.707 7.241
Cd Au Na
12 6 1
Direct
0.500 0.115 0.885
0.500 0.885 0.115
0.885 0.500 0.115
0.619 0.864 0.619
0.885 0.115 0.500
0.115 0.500 0.885
0.864 0.619 0.619
0.381 0.136 0.381
0.136 0.381 0.381
0.381 0.381 0.136
0.619 0.619 0.864
0.115 0.885 0.500
0.714 0.714 0.297
0.703 0.286 0.286
0.286 0.286 0.703
0.286 0.703 0.286
0.297 0.714 0.714
0.714 0.297 0.714
0.000 0.000 0.000
```

Computed properties:
SG = R-3m, No. 166
crystal system = trigonal

---

No. 8
A relaxed structure of Na3Cd2Au3. Source: Alexandria, functional PBE-GGA.

POSCAR file:
```
Na3Cd2Au3
1.0
-1.591 -4.239 3.566
8.182 -2.349 0.859
-3.379 5.764 5.344
Na Cd Au
6 4 6
Direct
0.750 0.000 0.253
0.750 0.747 0.747
0.250 0.747 0.000
0.750 0.253 0.000
0.250 0.253 0.253
0.250 0.000 0.747
0.500 0.333 0.667
0.000 0.333 0.667
0.000 0.667 0.333
0.500 0.667 0.333
0.750 0.594 0.000
0.750 0.406 0.406
0.750 0.000 0.594
0.250 0.000 0.406
0.250 0.594 0.594
0.250 0.406 0.000
```

Computed properties:
SG = P6_3/mcm, No. 193
crystal system = hexagonal

---

Number 1: uncorrected energy -1.672 eV per atom, total moment 0.0 μB per cell. Number 2: uncorrected energy -2.305 eV per atom, total moment 0.0 μB per cell. Number 3: uncorrected energy -1.466 eV per atom, total moment 0.0 μB per cell. Number 4: uncorrected energy -2.151 eV per atom, total moment 0.0 μB per cell. Number 5: uncorrected energy -1.789 eV per atom, total moment 0.0 μB per cell. Number 6: uncorrected energy -1.599 eV per atom, total moment 0.0 μB per cell. Number 7: uncorrected energy -1.818 eV per atom, total moment 0.0 μB per cell. Number 8: uncorrected energy -2.213 eV per atom, total moment 0.0 μB per cell.